1.
Entry from the Alexandria database: crystalline PaTa2Ti at its relaxed geometry (PBE).

a = 6.7661 Å, b = 6.7661 Å, c = 6.7661 Å
α = 90.00°, β = 90.00°, γ = 90.00°
Space group Fm-3m (No. 225)
One atom of each set of equivalent atoms:
Pa1 0.0000 0.0000 0.0000 x4
Ta1 0.2500 0.2500 0.2500 x8
Ti1 0.0000 0.0000 0.5000 x4

* E_form: 64 meV per atom
* M_tot: 0.00 μB/atom
* energy relative to the lowest polymorph listed for this composition: 0 meV/atom
* density of states at the Fermi level: 13.808 states/eV per cell

2.
Entry from the Alexandria database: crystalline Sm6Ho2Tl at its relaxed geometry (PBE).

a = 6.3175 Å, b = 9.2068 Å, c = 19.7811 Å
α = 90.00°, β = 90.00°, γ = 90.00°
Space group Ibam (No. 72)
One atom of each set of equivalent atoms:
Sm1 0.0000 0.0000 0.0810 x8
Sm2 0.1109 0.3221 0.1706 x16
Ho1 0.0755 0.3281 0.5000 x8
Tl1 0.0000 0.0000 0.2500 x4

* E_form: -4 meV per atom
* M_tot: 0.00 μB/atom
* energy relative to the lowest polymorph listed for this composition: 32 meV/atom
* density of states at the Fermi level: 43.898 states/eV per cell

3.
Entry from the Alexandria database: crystalline Ac2Y4Ho5 at its relaxed geometry (PBE).

a = 24.1760 Å, b = 3.6475 Å, c = 9.3287 Å
α = 90.00°, β = 112.03°, γ = 90.00°
Space group C2/m (No. 12)
One atom of each set of equivalent atoms:
Ac1 0.1112 0.0000 0.4229 x4
Y1 0.0458 0.0000 0.7149 x4
Y2 0.1860 0.5000 0.8401 x4
Ho1 0.0000 0.5000 0.0000 x2
Ho2 0.1328 0.0000 0.0719 x4
Ho3 0.2334 0.5000 0.3382 x4

* E_form: 140 meV per atom
* M_tot: 0.00 μB/atom
* density of states at the Fermi level: 31.706 states/eV per cell

4.
Entry from the Alexandria database: crystalline Mg3Ag5Au at its relaxed geometry (PBE).

a = 8.1929 Å, b = 8.1929 Å, c = 10.9429 Å
α = 90.00°, β = 90.00°, γ = 90.00°
Space group I4/mcm (No. 140)
One atom of each set of equivalent atoms:
Mg1 0.0000 0.0000 0.2500 x4
Mg2 0.1146 0.3854 0.0000 x8
Ag1 0.0000 0.0000 0.0000 x4
Ag2 0.2005 0.2995 0.3686 x16
Au1 0.0000 0.5000 0.2500 x4

* E_form: 34 meV per atom
* M_tot: 0.00 μB/atom
* density of states at the Fermi level: 11.035 states/eV per cell

5.
Entry from the Alexandria database: crystalline Ca2ZnSi at its relaxed geometry (PBE).

a = 3.5198 Å, b = 3.5198 Å, c = 8.3420 Å
α = 90.00°, β = 90.00°, γ = 90.00°
Space group P4mm (No. 99)
One atom of each set of equivalent atoms:
Ca1 0.0000 0.0000 0.0000 x1
Ca2 0.5000 0.5000 0.3931 x1
Zn1 0.5000 0.5000 0.7676 x1
Si1 0.0000 0.0000 0.6283 x1

* M_tot: 0.00 μB/atom
* energy relative to the lowest polymorph listed for this composition: 332 meV/atom
* density of states at the Fermi level: 3.294 states/eV per cell
* E_form (uncorrected): -69 meV/atom

6.
Entry from the Alexandria database: crystalline ZrCrOs2 at its relaxed geometry (PBE).

a = 2.9563 Å, b = 2.9563 Å, c = 7.1637 Å
α = 90.00°, β = 90.00°, γ = 90.00°
Space group P4mm (No. 99)
One atom of each set of equivalent atoms:
Zr1 0.0000 0.0000 0.0000 x1
Cr1 0.5000 0.5000 0.2778 x1
Os1 0.0000 0.0000 0.4656 x1
Os2 0.5000 0.5000 0.7133 x1

* E_form: 170 meV per atom
* M_tot: 0.00 μB/atom
* density of states at the Fermi level: 4.281 states/eV per cell

7.
Entry from the Alexandria database: crystalline GaS3F at its relaxed geometry (PBE).

a = 4.4419 Å, b = 4.4419 Å, c = 4.4419 Å
α = 90.00°, β = 90.00°, γ = 90.00°
Space group Pm-3m (No. 221)
One atom of each set of equivalent atoms:
Ga1 0.0000 0.0000 0.0000 x1
S1 0.0000 0.5000 0.5000 x3
F1 0.5000 0.5000 0.5000 x1

* M_tot: 0.00 μB/atom
* energy relative to the lowest polymorph listed for this composition: 164 meV/atom
* density of states at the Fermi level: 3.596 states/eV per cell
* E_form (uncorrected): 680 meV/atom

8.
Entry from the Alexandria database: crystalline AlReSb2 at its relaxed geometry (PBE).

a = 3.7279 Å, b = 4.5348 Å, c = 5.4681 Å
α = 90.00°, β = 109.17°, γ = 90.00°
Space group P2/m (No. 10)
One atom of each set of equivalent atoms:
Al1 0.0000 0.0000 0.0000 x1
Re1 0.0000 0.0000 0.5000 x1
Sb1 0.3603 0.5000 0.7316 x2

* M_tot: 0.00 μB/atom
* density of states at the Fermi level: 1.865 states/eV per cell
* E_form (uncorrected): 627 meV/atom